Record 1
A plane-wave DFT calculation with PBE+U was carried out for MnVReO6 after structural relaxation.

symmetry = No. 163

abc: 5.139 5.139 9.225
angles: 90.00 90.00 120.00
Fractional positions:
Mn1 0.000 0.000 0.000
Mn2 0.000 0.000 0.500
V1 0.333 0.667 0.250
V2 0.667 0.333 0.750
Re1 0.333 0.667 0.750
Re2 0.667 0.333 0.250
O1 0.009 0.365 0.636
O2 0.009 0.644 0.864
O3 0.356 0.365 0.864
O4 0.356 0.991 0.636
O5 0.365 0.009 0.136
O6 0.365 0.356 0.364
O7 0.635 0.644 0.636
O8 0.635 0.991 0.864
O9 0.644 0.009 0.364
O10 0.644 0.635 0.136
O11 0.991 0.356 0.136
O12 0.991 0.635 0.364

Record 2
A plane-wave DFT calculation with PBE+U was carried out for MnZnRe2O after structural relaxation.

energy relative to the lowest polymorph listed for this composition = 0.0 meV/atom
symmetry = No. 123

abc: 4.645 4.645 3.409
angles: 90.00 90.00 90.00
Fractional positions:
Mn1 0.000 0.000 0.000
Zn1 0.500 0.500 0.500
Re1 0.000 0.500 0.000
Re2 0.500 0.000 0.000
O1 0.000 0.000 0.500

Record 3
A plane-wave DFT calculation with PBE+U was carried out for MnZnRe2O after structural relaxation.

energy relative to the lowest polymorph listed for this composition = 835.9 meV/atom
symmetry = No. 123

abc: 4.444 4.444 4.560
angles: 90.00 90.00 90.00
Fractional positions:
Mn1 0.000 0.000 0.000
Zn1 0.000 0.000 0.500
Re1 0.000 0.500 0.000
Re2 0.500 0.000 0.000
O1 0.500 0.500 0.500

Record 4
A plane-wave DFT calculation with PBE+U was carried out for Mn2Rh3O8 after structural relaxation.

symmetry = No. 12

abc: 5.800 5.800 5.300
angles: 99.57 99.57 63.08
Fractional positions:
Mn1 0.207 0.207 0.083
Mn2 0.793 0.793 0.917
Rh1 0.245 0.755 0.500
Rh2 0.500 0.500 0.000
Rh3 0.755 0.245 0.500
O1 0.109 0.109 0.386
O2 0.150 0.608 0.141
O3 0.392 0.850 0.859
O4 0.402 0.402 0.629
O5 0.598 0.598 0.371
O6 0.608 0.150 0.141
O7 0.850 0.392 0.859
O8 0.891 0.891 0.614

Record 5
A plane-wave DFT calculation with PBE+U was carried out for MnRh3O after structural relaxation.

energy relative to the lowest polymorph listed for this composition = 0.0 meV/atom
symmetry = No. 221

abc: 4.131 4.131 4.131
angles: 90.00 90.00 90.00
Fractional positions:
Mn1 0.000 0.000 0.000
Rh1 0.000 0.500 0.500
Rh2 0.500 0.000 0.500
Rh3 0.500 0.500 0.000
O1 0.500 0.500 0.500

Record 6
A plane-wave DFT calculation with PBE+U was carried out for MnRh3O after structural relaxation.

energy relative to the lowest polymorph listed for this composition = 2071.4 meV/atom
symmetry = No. 221

abc: 4.435 4.435 4.435
angles: 90.00 90.00 90.00
Fractional positions:
Mn1 0.000 0.000 0.000
Rh1 0.000 0.000 0.500
Rh2 0.000 0.500 0.000
Rh3 0.500 0.000 0.000
O1 0.500 0.500 0.500

Record 7
A plane-wave DFT calculation with PBE+U was carried out for MnRh2O6 after structural relaxation.

energy relative to the lowest polymorph listed for this composition = 107.7 meV/atom
symmetry = No. 162

abc: 5.274 5.274 4.835
angles: 90.00 90.00 120.00
Fractional positions:
Mn1 0.000 0.000 0.000
Rh1 0.333 0.667 0.000
Rh2 0.667 0.333 0.000
O1 0.000 0.329 0.800
O2 0.000 0.671 0.200
O3 0.329 0.000 0.800
O4 0.329 0.329 0.200
O5 0.671 0.000 0.200
O6 0.671 0.671 0.800

Record 8
A plane-wave DFT calculation with PBE+U was carried out for MnRh2O6 after structural relaxation.

energy relative to the lowest polymorph listed for this composition = 0.0 meV/atom
symmetry = No. 136

abc: 4.540 4.540 9.312
angles: 90.00 90.00 90.00
Fractional positions:
Mn1 0.000 0.000 0.000
Mn2 0.500 0.500 0.500
Rh1 0.000 0.000 0.332
Rh2 0.000 0.000 0.668
Rh3 0.500 0.500 0.168
Rh4 0.500 0.500 0.832
O1 0.195 0.195 0.165
O2 0.195 0.195 0.835
O3 0.197 0.197 0.500
O4 0.303 0.697 0.000
O5 0.305 0.695 0.335
O6 0.305 0.695 0.665
O7 0.695 0.305 0.335
O8 0.695 0.305 0.665
O9 0.697 0.303 0.000
O10 0.803 0.803 0.500
O11 0.805 0.805 0.165
O12 0.805 0.805 0.835

Calculated spin magnetization (μB per formula unit), listed in the same order as above: 7.03 0.00 1.99 7.21 5.97 2.53 0.97 2.23
Calculated final energy (eV/atom), listed in the same order as above: -8.02 -6.16 -5.32 -6.91 -6.86 -4.79 -6.58 -6.69